Compound: BeSiO2
Source: Alexandria
Functional: PBE
Structure: relaxed

Cell lengths 2.6556, 2.6556, 15.8745 Å; angles 90.00, 90.00, 120.00 degrees
Space group R-3m (No. 166, hexagonal axes)
Symmetry-distinct sites (fractional):
Be (0.0000, 0.0000, 0.0000) (multiplicity 3)
Si (0.0000, 0.0000, 0.5000) (multiplicity 3)
O (0.0000, 0.0000, 0.3939) (multiplicity 6)

Calculated values
Offset from the most stable computed form = 0.000 eV/atom
ΔE_f (raw) = -1.8302 eV/atom



Compound: CrCu2SnH
Source: Alexandria
Functional: PBE
Structure: relaxed

Cell lengths 3.926, 3.926, 3.945 Å; angles 90.00, 90.00, 90.00 degrees
Space group P4/mmm (No. 123)
Symmetry-distinct sites (fractional):
Cr (0.000, 0.000, 0.000) (multiplicity 1)
Cu (0.000, 0.500, 0.500) (multiplicity 2)
Sn (0.500, 0.500, 0.000) (multiplicity 1)
H (0.000, 0.000, 0.500) (multiplicity 1)

Calculated values
Final energy = -4.90 eV/atom



Compound: Ag2SbCl
Source: Alexandria
Functional: PBE
Structure: relaxed

Cell lengths 11.843, 3.205, 5.086 Å; angles 90.00, 115.11, 90.00 degrees
Space group C2/m (No. 12)
Symmetry-distinct sites (fractional):
Ag (0.236, 0.000, 0.236) (multiplicity 4)
Sb (0.000, 0.500, 0.000) (multiplicity 2)
Cl (0.000, 0.000, 0.500) (multiplicity 2)

Calculated values
Offset from the most stable computed form = 0.210 eV/atom
ΔE_f (raw) = 0.0707 eV/atom



Compound: Ce2TmTl6
Source: Alexandria
Functional: PBE
Structure: relaxed

Cell lengths 15.994, 9.183, 3.450 Å; angles 90.00, 90.01, 90.00 degrees
Space group C2/m (No. 12)
Symmetry-distinct sites (fractional):
Ce (0.167, 0.000, 0.000) (multiplicity 4)
Tm (0.000, 0.500, 0.000) (multiplicity 2)
Tl (0.000, 0.170, 0.500) (multiplicity 4)
Tl (0.165, 0.335, 0.498) (multiplicity 8)

Calculated values
Energy of formation from the pure elements = -122 meV/atom



Compound: CuP2Ru
Source: Alexandria
Functional: PBE
Structure: relaxed

Cell lengths 5.355, 5.355, 10.091 Å; angles 90.00, 90.00, 90.00 degrees
Space group I-42d (No. 122)
Symmetry-distinct sites (fractional):
Cu (0.000, 0.000, 0.000) (multiplicity 4)
P (0.241, 0.250, 0.625) (multiplicity 8)
Ru (0.000, 0.000, 0.500) (multiplicity 4)

Calculated values
Energy of formation from the pure elements = -27 meV/atom
Offset from the most stable computed form = 0.124 eV/atom



Compound: CeSc5Os6
Source: Alexandria
Functional: PBE
Structure: relaxed

Cell lengths 4.607, 6.512, 7.263 Å; angles 90.00, 108.32, 90.00 degrees
Space group P2/m (No. 10)
Symmetry-distinct sites (fractional):
Ce (0.000, 0.000, 0.000) (multiplicity 1)
Sc (0.000, 0.500, 0.000) (multiplicity 1)
Sc (0.328, 0.000, 0.656) (multiplicity 2)
Sc (0.332, 0.500, 0.663) (multiplicity 2)
Os (0.165, 0.251, 0.332) (multiplicity 4)
Os (0.500, 0.250, 0.000) (multiplicity 2)

Calculated values
Energy of formation from the pure elements = -326 meV/atom